[1]
First-principles (GGA-PBE) data for a geometry-optimized PrSmAsS structure, as listed in the Alexandria database.

Results
space group	R3m (160)
E	-6.362	eV/atom
E_form (uncorrected)	-1.793	eV per atom

Unit cell a=4.1753 b=4.1753 c=20.3277 alpha=90.00 beta=90.00 gamma=120.00
Last column: nearest neighbours and their distance in Å.
Atoms (fractional coordinates):
1 Pr 0.0000 0.0000 0.0000  3 S 2.97, 3 As 2.98
2 Pr 0.3333 0.6667 0.6667  3 S 2.97, 3 As 2.98
3 Pr 0.6667 0.3333 0.3333  3 S 2.97, 3 As 2.98
4 Sm 0.0000 0.0000 0.5012  3 S 2.91, 3 As 2.93
5 Sm 0.3333 0.6667 0.1678  3 S 2.91, 3 As 2.93
6 Sm 0.6667 0.3333 0.8345  3 S 2.91, 3 As 2.93
7 As 0.0000 0.0000 0.7527  3 Sm 2.93, 3 Pr 2.98
8 As 0.3333 0.6667 0.4194  3 Sm 2.93, 3 Pr 2.98
9 As 0.6667 0.3333 0.0860  3 Sm 2.93, 3 Pr 2.98
10 S 0.0000 0.0000 0.2482  3 Sm 2.91, 3 Pr 2.97
11 S 0.3333 0.6667 0.9149  3 Sm 2.91, 3 Pr 2.97
12 S 0.6667 0.3333 0.5816  3 Sm 2.91, 3 Pr 2.97


[2]
First-principles (GGA-PBE) data for a geometry-optimized Nd2BeGa3 structure, as listed in the Alexandria database.

Results
space group	Fmmm (69)
E	-4.254	eV/atom
ΔE_f	-0.531	eV/atom

Unit cell a=8.4135 b=8.3744 c=5.9903 alpha=69.44 beta=68.75 gamma=41.81
Last column: nearest neighbours and their distance in Å.
Atoms (fractional coordinates):
1 Nd 0.2450 0.7550 0.2450  10 Ga 3.22-3.29, 2 Be 3.25
2 Nd 0.2500 0.2500 0.2500  8 Ga 3.19, 4 Be 3.23
3 Nd 0.7500 0.7500 0.7500  8 Ga 3.19, 4 Be 3.23
4 Nd 0.7550 0.2450 0.7550  10 Ga 3.22-3.29, 2 Be 3.25
5 Be 0.3333 0.3333 0.6667  3 Ga 2.31
6 Be 0.6667 0.6667 0.3333  3 Ga 2.31
7 Ga 0.1736 0.1736 0.8264  1 Be 2.31, 2 Ga 2.53
8 Ga 0.1748 0.6510 0.8252  1 Be 2.31, 2 Ga 2.53
9 Ga 0.3490 0.8252 0.6510  1 Be 2.31, 2 Ga 2.53
10 Ga 0.6510 0.1748 0.3490  1 Be 2.31, 2 Ga 2.53
11 Ga 0.8252 0.3490 0.1748  1 Be 2.31, 2 Ga 2.53
12 Ga 0.8264 0.8264 0.1736  1 Be 2.31, 2 Ga 2.53


[3]
First-principles (GGA-PBE) data for a geometry-optimized Y3PbO6 structure, as listed in the Alexandria database.

Results
space group	Cmc2_1 (36)
E	-8.109	eV/atom
E_form (uncorrected)	-2.824	eV per atom

Unit cell a=7.2430 b=7.2430 c=5.7548 alpha=90.00 beta=90.00 gamma=103.05
Last column: nearest neighbours and their distance in Å.
Atoms (fractional coordinates):
1 Y 0.0994 0.9006 0.5000  7 O 2.30-2.48
2 Y 0.1913 0.4087 0.5548  6 O 2.26-2.43
3 Y 0.4087 0.1913 0.0548  6 O 2.26-2.43
4 Y 0.5913 0.8087 0.5548  6 O 2.26-2.43
5 Y 0.8087 0.5913 0.0548  6 O 2.26-2.43
6 Y 0.9006 0.0994 0.0000  7 O 2.30-2.48
7 Pb 0.3303 0.6697 0.0667  5 O 2.23-2.47
8 Pb 0.6697 0.3303 0.5667  5 O 2.23-2.47
9 O 0.0665 0.5999 0.2805  1 Pb 2.23, 3 Y 2.26-2.48
10 O 0.1425 0.1806 0.2740  4 Y 2.28-2.37
11 O 0.1806 0.1425 0.7740  4 Y 2.28-2.37
12 O 0.2776 0.7224 0.6905  1 Pb 2.25, 3 Y 2.30-2.35
13 O 0.4001 0.9335 0.2805  1 Pb 2.23, 3 Y 2.26-2.48
14 O 0.4844 0.5156 0.3407  2 Pb 2.35-2.47, 2 Y 2.43
15 O 0.5156 0.4844 0.8407  2 Pb 2.35-2.47, 2 Y 2.43
16 O 0.5999 0.0665 0.7805  1 Pb 2.23, 3 Y 2.26-2.48
17 O 0.7224 0.2776 0.1905  1 Pb 2.25, 3 Y 2.30-2.35
18 O 0.8194 0.8575 0.2740  4 Y 2.28-2.37
19 O 0.8575 0.8194 0.7740  4 Y 2.28-2.37
20 O 0.9335 0.4001 0.7805  1 Pb 2.23, 3 Y 2.26-2.48